Crystalline TaNbTe3 at its relaxed geometry, computed with PBE-GGA.

**N(E_F)**: 0.7222 states/eV/atom
**Energy relative to the elements, uncorrected**: 0.85 eV/atom
**Space-group type**: Pm-3m
**Energy above the lowest structure with this stoichiometry**: 1.0476 eV per atom

Geometry as POSCAR:
```
TaNbTe3
1.0
5.378 0.000 0.000
0.000 5.378 0.000
0.000 0.000 5.378
Ta Nb Te
1 1 3
Direct
0.000 0.000 0.000
0.500 0.500 0.500
0.000 0.000 0.500
0.000 0.500 0.000
0.500 0.000 0.000
```